Entry a
A plane-wave DFT calculation with PBE-GGA was carried out for an optimized crystal structure of Tl3SiF7.

The structure in POSCAR format:
```
Tl3SiF7
1.0
8.031 0.010 0.000
-4.016 6.955 0.000
0.000 0.000 6.969
Tl F Si
6 14 2
Direct
0.840 0.160 0.273
0.324 0.161 0.271
0.160 0.840 0.773
0.676 0.839 0.771
0.161 0.324 0.771
0.839 0.676 0.271
0.768 0.232 0.877
0.232 0.768 0.377
0.566 0.434 0.591
0.566 0.130 0.592
0.870 0.434 0.592
0.001 0.999 0.033
0.537 0.768 0.375
0.232 0.463 0.375
0.463 0.232 0.875
0.768 0.537 0.875
0.999 0.001 0.533
0.434 0.566 0.091
0.434 0.870 0.092
0.130 0.566 0.092
0.333 0.667 0.235
0.667 0.333 0.735
```

---

Entry b
A plane-wave DFT calculation with PBE-GGA was carried out for an optimized crystal structure of Tl3SiF7.

The structure in POSCAR format:
```
Tl3SiF7
1.0
5.499 0.037 2.182
-0.627 5.464 2.182
-0.020 -0.022 7.021
F Tl Si
7 3 1
Direct
0.456 0.456 0.321
0.881 0.881 0.886
0.147 0.147 0.127
0.001 0.301 0.824
0.301 0.001 0.824
0.731 0.029 0.190
0.029 0.731 0.190
0.771 0.264 0.470
0.528 0.528 0.946
0.264 0.771 0.470
0.015 0.015 0.002
```

---

Which is less stable than every other structure shown? entry b is.